--- one ---
# Tm2ZnCu (GGA-PBE, relaxed)
# space-group type	Fm-3m (225)
data_Tm2ZnCu
_cell_length_a 4.9043
_cell_length_b 4.9043
_cell_length_c 4.9043
_cell_angle_alpha 60.00
_cell_angle_beta 60.00
_cell_angle_gamma 60.00
_space_group_name_H-M_alt 'P 1'
_space_group_IT_number 1
loop_
_space_group_symop_operation_xyz
'x,y,z'
loop_
_atom_site_label
_atom_site_fract_x
_atom_site_fract_y
_atom_site_fract_z
Zn1 0.0000 0.0000 0.0000
Tm1 0.2500 0.2500 0.2500
Tm2 0.7500 0.7500 0.7500
Cu1 0.5000 0.5000 0.5000

--- two ---
# Tm2ZnCu (GGA-PBE, relaxed)
# space-group type	P4/mmm (123)
data_Tm2ZnCu
_cell_length_a 3.4678
_cell_length_b 3.4678
_cell_length_c 6.9343
_cell_angle_alpha 90.00
_cell_angle_beta 90.00
_cell_angle_gamma 90.00
_space_group_name_H-M_alt 'P 1'
_space_group_IT_number 1
loop_
_space_group_symop_operation_xyz
'x,y,z'
loop_
_atom_site_label
_atom_site_fract_x
_atom_site_fract_y
_atom_site_fract_z
Zn1 0.5000 0.5000 0.5000
Tm1 0.0000 0.0000 0.7569
Tm2 0.0000 0.0000 0.2431
Cu1 0.5000 0.5000 0.0000

The energy of each structure relative to the most stable one, in meV per atom, is as follows: one 9; two 0.

--- one ---
# TmZn4Cu (GGA-PBE, relaxed)
# space-group type	Cmcm (63)
data_TmZn4Cu
_cell_length_a 3.9591
_cell_length_b 6.7200
_cell_length_c 7.8760
_cell_angle_alpha 90.00
_cell_angle_beta 104.56
_cell_angle_gamma 90.00
_space_group_name_H-M_alt 'P 1'
_space_group_IT_number 1
loop_
_space_group_symop_operation_xyz
'x,y,z'
loop_
_atom_site_label
_atom_site_fract_x
_atom_site_fract_y
_atom_site_fract_z
Tm1 0.1232 0.2500 0.2465
Tm2 0.8768 0.7500 0.7535
Zn1 0.5000 0.5000 0.0000
Zn2 0.5000 0.0000 0.0000
Zn3 0.6766 0.9419 0.3532
Zn4 0.3234 0.0581 0.6468
Zn5 0.3234 0.4419 0.6468
Zn6 0.6766 0.5581 0.3532
Zn7 0.0720 0.7500 0.1441
Zn8 0.9280 0.2500 0.8559
Cu1 0.2352 0.7500 0.4703
Cu2 0.7648 0.2500 0.5297

--- two ---
# TmZn4Cu (GGA-PBE, relaxed)
# space-group type	F-43m (216)
data_TmZn4Cu
_cell_length_a 5.2011
_cell_length_b 5.2011
_cell_length_c 5.2011
_cell_angle_alpha 60.00
_cell_angle_beta 60.00
_cell_angle_gamma 60.00
_space_group_name_H-M_alt 'P 1'
_space_group_IT_number 1
loop_
_space_group_symop_operation_xyz
'x,y,z'
loop_
_atom_site_label
_atom_site_fract_x
_atom_site_fract_y
_atom_site_fract_z
Zn1 0.6252 0.6252 0.1245
Zn2 0.6252 0.1245 0.6252
Zn3 0.6252 0.6252 0.6252
Zn4 0.1245 0.6252 0.6252
Tm1 0.2500 0.2500 0.2500
Cu1 0.0000 0.0000 0.0000

The energy of each structure relative to the most stable one, in meV per atom, is as follows: one 0; two 116.

--- one ---
# Tm12ZnCu6 (GGA-PBE, relaxed)
# space-group type	R-3 (148)
data_Tm12ZnCu6
_cell_length_a 8.3898
_cell_length_b 8.3898
_cell_length_c 8.3898
_cell_angle_alpha 109.21
_cell_angle_beta 109.21
_cell_angle_gamma 109.21
_space_group_name_H-M_alt 'P 1'
_space_group_IT_number 1
loop_
_space_group_symop_operation_xyz
'x,y,z'
loop_
_atom_site_label
_atom_site_fract_x
_atom_site_fract_y
_atom_site_fract_z
Tm1 0.8384 0.6287 0.5320
Tm2 0.5320 0.8384 0.6287
Tm3 0.6287 0.5320 0.8384
Tm4 0.1616 0.3713 0.4680
Tm5 0.4680 0.1616 0.3713
Tm6 0.3713 0.4680 0.1616
Tm7 0.9907 0.8675 0.3077
Tm8 0.1325 0.6923 0.0093
Tm9 0.6923 0.0093 0.1325
Tm10 0.0093 0.1325 0.6923
Tm11 0.8675 0.3077 0.9907
Tm12 0.3077 0.9907 0.8675
Zn1 0.0000 0.0000 0.0000
Cu1 0.6579 0.8476 0.3583
Cu2 0.6417 0.3421 0.1524
Cu3 0.1524 0.6417 0.3421
Cu4 0.3421 0.1524 0.6417
Cu5 0.3583 0.6579 0.8476
Cu6 0.8476 0.3583 0.6579

--- two ---
# Tm12ZnCu6 (GGA-PBE, relaxed)
# space-group type	Im-3 (204)
data_Tm12ZnCu6
_cell_length_a 8.3508
_cell_length_b 8.3508
_cell_length_c 8.3508
_cell_angle_alpha 109.47
_cell_angle_beta 109.47
_cell_angle_gamma 109.47
_space_group_name_H-M_alt 'P 1'
_space_group_IT_number 1
loop_
_space_group_symop_operation_xyz
'x,y,z'
loop_
_atom_site_label
_atom_site_fract_x
_atom_site_fract_y
_atom_site_fract_z
Tm1 0.2923 0.1043 0.8120
Tm2 0.2923 0.4803 0.1880
Tm3 0.7077 0.5197 0.8120
Tm4 0.7077 0.8957 0.1880
Tm5 0.1043 0.8120 0.2923
Tm6 0.4803 0.1880 0.2923
Tm7 0.5197 0.8120 0.7077
Tm8 0.8957 0.1880 0.7077
Tm9 0.8120 0.2923 0.1043
Tm10 0.1880 0.2923 0.4803
Tm11 0.8120 0.7077 0.5197
Tm12 0.1880 0.7077 0.8957
Zn1 0.0000 0.0000 0.0000
Cu1 0.3738 0.5000 0.8738
Cu2 0.6262 0.5000 0.1262
Cu3 0.5000 0.8738 0.3738
Cu4 0.5000 0.1262 0.6262
Cu5 0.8738 0.3738 0.5000
Cu6 0.1262 0.6262 0.5000

The energy of each structure relative to the most stable one, in meV per atom, is as follows: one 165; two 0.